Entry 1:
Material: Er8Cd2Tc
Method: DFT, GGA-PBE
State: optimized geometry

The theoretical density is 9248 kg/m3. As for the symmetry: C2/m, No. 12. The volume is 27.1 Å³/atom. The calculation puts the energy of formation at -1.5 eV/f.u.

Unit cell a=5.3258 b=6.9330 c=9.0194 alpha=109.45 beta=107.17 gamma=90.00
Positions (direct):
Tc: 0.5000 0.0000 0.0000
Er: 0.5953 0.4177 0.1905
Er: 0.6529 0.9457 0.3058
Er: 0.3471 0.0543 0.6942
Cd: 0.8169 0.3016 0.6337
Er: 0.9795 0.2106 0.9591
Er: 0.1937 0.2761 0.3875
Cd: 0.1831 0.6984 0.3663
Er: 0.4047 0.5823 0.8095
Er: 0.8063 0.7239 0.6125
Er: 0.0205 0.7894 0.0409

Entry 2:
Material: Mg8Ga2Ru
Method: DFT, GGA-PBE
State: optimized geometry

The theoretical density is 3312 kg/m3. As for the symmetry: C2/m, No. 12. The volume is 19.8 Å³/atom. The calculation puts the energy of formation at -0.9 eV/f.u.

Unit cell a=4.5283 b=6.8591 c=8.0120 alpha=112.95 beta=106.41 gamma=90.00
Positions (direct):
Mg: 0.3938 0.5730 0.7875
Ru: 0.5000 0.0000 0.0000
Mg: 0.0212 0.7848 0.0424
Ga: 0.8110 0.3258 0.6219
Mg: 0.9788 0.2152 0.9576
Mg: 0.3408 0.0830 0.6817
Mg: 0.8268 0.7681 0.6536
Mg: 0.6592 0.9170 0.3183
Mg: 0.1732 0.2319 0.3464
Ga: 0.1890 0.6742 0.3781
Mg: 0.6062 0.4270 0.2125

Entry 3:
Material: Pr5ErPb5
Method: DFT, GGA-PBE
State: optimized geometry

The theoretical density is 8344 kg/m3. As for the symmetry: C2/m, No. 12. The volume is 34.5 Å³/atom. The calculation puts the energy of formation at -3.7 eV/f.u.

Unit cell a=6.2626 b=9.0388 c=7.4233 alpha=104.60 beta=90.00 gamma=110.27
Positions (direct):
Pb: 0.8382 0.6764 0.6336
Pr: 0.3422 0.6843 0.2169
Pr: 0.6578 0.3157 0.7831
Pb: 0.1618 0.3236 0.3664
Er: 0.0000 0.0000 0.0000
Pr: 0.6772 0.3544 0.2893
Pb: 0.1641 0.3282 0.8965
Pr: 0.3228 0.6456 0.7107
Pr: 0.0000 0.0000 0.5000
Pb: 0.5000 0.0000 0.0000
Pb: 0.8359 0.6718 0.1035

Entry 4:
Material: Hf2HIrOs
Method: DFT, GGA-PBE
State: optimized geometry

The theoretical density is 17067 kg/m3. As for the symmetry: P4/mmm, No. 123. The volume is 14.4 Å³/atom. The excess energy over the best structure of this formula in the dataset comes out at 0.000 eV/atom.

Unit cell a=4.4351 b=4.4351 c=3.6624 alpha=90.00 beta=90.00 gamma=90.00
Positions (direct):
H: 0.0000 0.0000 0.0000
Os: 0.0000 0.0000 0.5000
Hf: 0.0000 0.5000 0.0000
Ir: 0.5000 0.5000 0.5000
Hf: 0.5000 0.0000 0.0000

Entry 5:
Material: Cr2PRh
Method: DFT, GGA-PBE
State: optimized geometry

The theoretical density is 8124 kg/m3. As for the symmetry: Immm, No. 71. The volume is 12.2 Å³/atom. The calculation puts the energy of formation at -0.8 eV/f.u.

Unit cell a=4.8401 b=4.8401 c=4.1494 alpha=64.61 beta=64.61 gamma=34.02
Positions (direct):
P: 0.7500 0.7500 0.7500
Rh: 0.2500 0.2500 0.2500
Cr: 0.4744 0.4744 0.5253
Cr: 0.0256 0.0256 0.9747

Entry 6:
Material: LiTeBr4
Method: DFT, GGA-PBE
State: optimized geometry

The theoretical density is 3993 kg/m3. As for the symmetry: C2/c, No. 15. The volume is 31.5 Å³/atom. The excess energy over the best structure of this formula in the dataset comes out at 0.000 eV/atom. The calculation puts the uncorrected formation energy at -4.232 eV/f.u.

Unit cell a=7.0342 b=7.0342 c=8.0677 alpha=89.95 beta=89.95 gamma=71.13
Positions (direct):
Te: 0.0000 0.5000 0.5000
Br: 0.7549 0.2208 0.9998
Br: 0.2208 0.7549 0.4998
Br: 0.2478 0.2483 0.2496
Li: 0.9998 0.0002 0.2500
Br: 0.7517 0.7522 0.2504
Br: 0.7792 0.2451 0.5002
Li: 0.0002 0.9998 0.7500
Br: 0.2483 0.2478 0.7496
Br: 0.2451 0.7792 0.0002
Te: 0.5000 0.0000 0.0000
Br: 0.7522 0.7517 0.7504

> Number 2 is which compound?

Mg8Ga2Ru

> Which value of volume does entry 3 give?

34.5 Å³/atom